(1)
Material: Ce2SnAu10
Method: DFT, PBE
State: relaxed

Summary:
* SG: P2_1/c (14)

abc: 5.119 13.241 9.341
angles: 90.00 90.00 67.73
Sites, in units of the cell vectors:
Ce 0.313 0.305 0.967
Ce 0.313 0.805 0.533
Ce 0.687 0.195 0.467
Ce 0.687 0.695 0.033
Au 0.908 0.186 0.820
Au 0.498 0.106 0.184
Au 0.111 0.294 0.624
Au 0.280 0.063 0.590
Au 0.092 0.814 0.180
Au 0.720 0.937 0.410
Au 0.840 0.998 0.696
Au 0.092 0.314 0.320
Au 0.502 0.894 0.816
Au 0.908 0.686 0.680
Au 0.110 0.794 0.876
Au 0.840 0.498 0.804
Au 0.889 0.706 0.376
Au 0.720 0.437 0.090
Au 0.502 0.394 0.684
Au 0.160 0.502 0.196
Au 0.280 0.563 0.910
Au 0.890 0.206 0.124
Au 0.160 0.002 0.304
Au 0.498 0.606 0.316
Sn 0.000 0.000 0.000
Sn 0.000 0.500 0.500


(2)
Material: CeSnAu
Method: DFT, PBE
State: relaxed

Summary:
* SG: P3m1 (156)

abc: 3.824 4.771 4.771
angles: 120.00 90.00 90.00
Sites, in units of the cell vectors:
Au 0.180 0.333 0.667
Ce 0.666 0.667 0.333
Sn 0.155 0.000 0.000


no.,VASP energy (eV per atom),ΔE_f (meV per atom)
1,-4.088,-346
2,-5.078,-674